[1]
Ac2TePb: optimized geometry, PBE-GGA.

Geometry as POSCAR:
```
Ac2TePb
1.0
3.983 0.000 0.000
0.000 3.983 0.000
0.000 0.000 8.772
Te Pb Ac
1 1 2
direct
0.500 0.500 0.000 Te
0.500 0.500 0.500 Pb
0.000 0.000 0.759 Ac
0.000 0.000 0.241 Ac
```

Calculated values
- E_form (uncorrected): -0.929 eV/atom
- ΔE to the lowest computed polymorph: 130 meV/atom


[2]
Th2ScPt: optimized geometry, PBE-GGA.

Geometry as POSCAR:
```
Th2ScPt
1.0
3.615 0.000 0.000
1.807 3.130 0.000
1.807 1.043 10.360
Th Pt Sc
2 1 1
direct
0.100 0.100 0.699 Th
0.900 0.900 0.301 Th
0.500 0.500 0.500 Pt
0.000 0.000 0.000 Sc
```

Calculated values
- Energy of formation from the pure elements: -1.640 kcal/mol of atoms


[3]
KRb2PtBr6: optimized geometry, PBE-GGA.

Geometry as POSCAR:
```
KRb2PtBr6
1.0
7.546 0.000 0.000
3.773 6.535 0.000
3.773 2.178 15.772
K Br Pt Rb
2 12 2 4
direct
0.417 0.417 0.750 K
0.583 0.583 0.250 K
0.807 0.290 0.095 Br
0.807 0.807 0.095 Br
0.193 0.193 0.905 Br
0.369 0.857 0.405 Br
0.193 0.710 0.905 Br
0.857 0.369 0.405 Br
0.631 0.631 0.595 Br
0.143 0.631 0.595 Br
0.369 0.369 0.405 Br
0.631 0.143 0.595 Br
0.290 0.807 0.095 Br
0.710 0.193 0.905 Br
0.000 0.000 0.000 Pt
0.500 0.500 0.500 Pt
0.308 0.308 0.075 Rb
0.140 0.140 0.579 Rb
0.692 0.692 0.925 Rb
0.860 0.860 0.421 Rb
```

Calculated values
- E_form (uncorrected): -1.102 eV/atom
- ΔE to the lowest computed polymorph: 0 meV/atom


[4]
Zn11Cu4Au9: optimized geometry, PBE-GGA.

Geometry as POSCAR:
```
Zn11Cu4Au9
1.0
-1.050 1.215 -2.623
5.206 -8.230 -5.895
-10.557 -3.297 2.698
Cu Zn Au
4 11 9
direct
0.500 0.254 0.420 Cu
0.500 0.580 0.746 Cu
0.500 0.420 0.254 Cu
0.500 0.746 0.580 Cu
0.000 0.623 0.377 Zn
0.000 0.056 0.409 Zn
0.000 0.591 0.944 Zn
0.000 0.377 0.623 Zn
0.000 0.764 0.764 Zn
0.000 0.409 0.056 Zn
0.000 0.944 0.591 Zn
0.000 0.818 0.182 Zn
0.000 0.182 0.818 Zn
0.000 0.236 0.236 Zn
0.000 0.000 0.000 Zn
0.500 0.500 0.500 Au
0.500 0.972 0.792 Au
0.500 0.611 0.163 Au
0.500 0.028 0.208 Au
0.500 0.208 0.028 Au
0.500 0.837 0.389 Au
0.500 0.163 0.611 Au
0.500 0.792 0.972 Au
0.500 0.389 0.837 Au
```

Calculated values
- Energy of formation from the pure elements: -3.211 kcal/mol of atoms


[5]
PrMgNi17: optimized geometry, PBE-GGA.

Geometry as POSCAR:
```
PrMgNi17
1.0
6.203 0.011 0.744
0.661 6.167 0.744
0.012 0.011 6.247
Ni Pr Mg
17 1 1
direct
0.292 0.003 0.706 Ni
0.854 0.343 0.343 Ni
0.903 0.903 0.903 Ni
0.502 0.999 0.999 Ni
0.706 0.292 0.003 Ni
0.157 0.651 0.651 Ni
0.999 0.999 0.502 Ni
0.292 0.706 0.003 Ni
0.651 0.651 0.157 Ni
0.102 0.102 0.102 Ni
0.999 0.502 0.999 Ni
0.343 0.854 0.343 Ni
0.706 0.003 0.292 Ni
0.343 0.343 0.854 Ni
0.003 0.292 0.706 Ni
0.003 0.706 0.292 Ni
0.651 0.157 0.651 Ni
0.657 0.657 0.657 Pr
0.339 0.339 0.339 Mg
```

Calculated values
- Energy of formation from the pure elements: -1.513 kcal/mol of atoms


[6]
PaCuNiH6: optimized geometry, PBE-GGA.

Geometry as POSCAR:
```
PaCuNiH6
1.0
-2.766 -3.217 -0.756
1.359 -4.088 0.141
-0.932 -0.168 4.123
Pa H Cu Ni
1 6 1 1
direct
0.000 0.000 0.000 Pa
0.495 0.011 0.216 H
0.011 0.495 0.784 H
0.495 0.495 0.216 H
0.011 0.495 0.216 H
0.495 0.495 0.784 H
0.495 0.011 0.784 H
0.667 0.667 0.500 Cu
0.333 0.333 0.500 Ni
```

Calculated values
- Total DFT energy (no corrections): -41.1 eV for the cell shown